Entry one
# CsTl2Pb4

A relaxed structure of CsTl2Pb4 (GGA-PBE, the Alexandria database).

Fermi-level density of states: 0.852 states/eV per atom
Magnetization: 0.0 Bohr magnetons per cell

a b c (Å): 10.214 10.214 10.214
angles (deg): 31.82 31.82 31.82
Positions (direct):
Cs: 0.000 0.000 0.000
Tl: 0.256 0.256 0.256
Tl: 0.744 0.744 0.744
Pb: 0.144 0.144 0.144
Pb: 0.443 0.443 0.443
Pb: 0.557 0.557 0.557
Pb: 0.856 0.856 0.856

---

Entry two
# CsTl2Pb4

A relaxed structure of CsTl2Pb4 (GGA-PBE, the Alexandria database).

Fermi-level density of states: 0.428 states/eV per atom
Magnetization: 0.0 Bohr magnetons per cell

a b c (Å): 6.988 6.988 6.988
angles (deg): 102.36 102.36 124.87
Positions (direct):
Cs: 0.000 0.000 0.000
Tl: 0.250 0.750 0.500
Tl: 0.750 0.250 0.500
Pb: 0.310 0.310 0.620
Pb: 0.310 0.690 0.000
Pb: 0.690 0.310 0.000
Pb: 0.690 0.690 0.380

---

Stability order, top to bottom: entry one, entry two